Arrangement A

The following is a DFT calculation (PBE) of an optimized crystal structure of BaGa2Ge.

Output
spin magnetization	0.0	Bohr magnetons per cell

abc: 5.0684 5.0684 18.3557
angles: 90.00 90.00 90.00
Closest atoms and distances in Å follow each position.
Space group I4_1/amd (No. 141, origin choice 2)
Symmetry-distinct sites (fractional):
Ba (0.0000, 0.2500, 0.3750) [4 per cell]  4 Ge 3.58, 8 Ga 3.65
Ga (0.0000, 0.0000, 0.0000) [8 per cell]  2 Ga 2.53, 2 Ge 2.62
Ge (0.0000, 0.2500, 0.8750) [4 per cell]  4 Ga 2.62

---

Arrangement B

The following is a DFT calculation (PBE) of an optimized crystal structure of BaGa2Ge.

Output
spin magnetization	0.0	Bohr magnetons per cell

abc: 4.8049 6.6748 7.6467
angles: 90.00 90.00 90.00
Closest atoms and distances in Å follow each position.
Space group Amm2 (No. 38)
Symmetry-distinct sites (fractional):
Ba (0.0000, 0.0000, 0.0000) [2 per cell]  8 Ga 3.51-3.58, 2 Ge 3.77
Ga (0.5000, 0.1855, 0.6922) [4 per cell]  1 Ga 2.48, 2 Ge 2.54-2.70
Ge (0.5000, 0.0000, 0.3791) [2 per cell]  4 Ga 2.54-2.70

---

In terms of stability, arrangement A leads; the second structure lies 131 meV per atom higher.

---

Arrangement A

The following is a DFT calculation (PBE) of an optimized crystal structure of Ba3GaGe2.

Output
spin magnetization	0.0	Bohr magnetons per cell

abc: 8.8260 10.1504 10.4772
angles: 90.00 111.19 90.00
Closest atoms and distances in Å follow each position.
Space group P2_1/c (No. 14)
Symmetry-distinct sites (fractional):
Ba (0.2080, 0.1869, 0.3227) [4 per cell]  4 Ge 3.24-3.37, 2 Ga 3.49-3.51
Ba (0.2379, 0.5312, 0.1509) [4 per cell]  4 Ge 3.43-3.79, 2 Ga 3.48-3.63
Ba (0.2711, 0.5989, 0.5460) [4 per cell]  3 Ge 3.37-3.57, 2 Ga 3.62-3.70
Ga (0.4208, 0.6092, 0.9166) [4 per cell]  2 Ge 2.47-2.53
Ge (0.1161, 0.6360, 0.8118) [4 per cell]  1 Ga 2.53
Ge (0.4340, 0.2026, 0.1353) [4 per cell]  1 Ga 2.47

---

Arrangement B

The following is a DFT calculation (PBE) of an optimized crystal structure of Ba3GaGe2.

Output
spin magnetization	0.0	Bohr magnetons per cell

abc: 18.4930 4.6669 12.4871
angles: 90.00 116.80 90.00
Closest atoms and distances in Å follow each position.
Space group C2/m (No. 12)
Symmetry-distinct sites (fractional):
Ba (0.0495, 0.0000, 0.2643) [4 per cell]  3 Ge 3.18-3.24
Ba (0.1506, 0.5000, 0.9946) [4 per cell]  3 Ge 3.26-3.56
Ba (0.2106, 0.0000, 0.6159) [4 per cell]  3 Ge 3.19-3.22
Ga (0.0752, 0.5000, 0.6645) [4 per cell]  4 Ge 2.63-2.83
Ge (0.0878, 0.5000, 0.4628) [4 per cell]  2 Ga 2.63-2.70
Ge (0.1386, 0.0000, 0.8047) [4 per cell]  2 Ga 2.83

---

In terms of stability, arrangement A leads; the second structure lies 131 meV per atom higher.

---

Arrangement A

The following is a DFT calculation (PBE) of an optimized crystal structure of BaGaGe3.

Output
spin magnetization	0.0	Bohr magnetons per cell

abc: 5.1297 5.1297 5.1297
angles: 90.00 90.00 90.00
Closest atoms and distances in Å follow each position.
Space group Pm-3m (No. 221)
Symmetry-distinct sites (fractional):
Ba (0.0000, 0.0000, 0.0000) [1 per cell]  12 Ge 3.63
Ga (0.5000, 0.5000, 0.5000) [1 per cell]  6 Ge 2.56
Ge (0.0000, 0.5000, 0.5000) [3 per cell]  2 Ga 2.56

---

Arrangement B

The following is a DFT calculation (PBE) of an optimized crystal structure of BaGaGe3.

Output
spin magnetization	0.0	Bohr magnetons per cell

abc: 4.5113 26.4933 4.2674
angles: 90.00 90.00 90.00
Closest atoms and distances in Å follow each position.
Space group Cmcm (No. 63)
Symmetry-distinct sites (fractional):
Ba (0.0000, 0.0820, 0.2500) [4 per cell]  10 Ge 3.44-3.65, 2 Ga 3.79
Ga (0.0000, 0.2002, 0.7500) [4 per cell]  3 Ge 2.58-2.69
Ge (0.0000, 0.2976, 0.7500) [4 per cell]  1 Ga 2.58, 2 Ge 2.63
Ge (0.0000, 0.3554, 0.2500) [4 per cell]  2 Ge 2.63, 2 Ga 2.69
Ge (0.0000, 0.4736, 0.2500) [4 per cell]  2 Ge 2.55

---

In terms of stability, arrangement B leads; the second structure lies 260 meV per atom higher.

---

Arrangement A

The following is a DFT calculation (PBE) of an optimized crystal structure of BaGaGe3.

Output
spin magnetization	0.0	Bohr magnetons per cell

abc: 5.8349 5.8349 5.8349
angles: 90.00 90.00 90.00
Closest atoms and distances in Å follow each position.
Space group Pm-3m (No. 221)
Symmetry-distinct sites (fractional):
Ba (0.0000, 0.0000, 0.0000) [1 per cell]  6 Ge 2.92
Ga (0.5000, 0.5000, 0.5000) [1 per cell]  12 Ge 4.13
Ge (0.0000, 0.0000, 0.5000) [3 per cell]  2 Ba 2.92

---

Arrangement B

The following is a DFT calculation (PBE) of an optimized crystal structure of BaGaGe3.

Output
spin magnetization	0.0	Bohr magnetons per cell

abc: 4.7747 16.5292 6.5111
angles: 90.00 90.00 90.00
Closest atoms and distances in Å follow each position.
Space group Cmcm (No. 63)
Symmetry-distinct sites (fractional):
Ba (0.0000, 0.0869, 0.2500) [4 per cell]  9 Ge 3.35-3.71, 2 Ga 3.49
Ga (0.0000, 0.4331, 0.2500) [4 per cell]  2 Ge 2.64
Ge (0.0000, 0.1357, 0.7500) [4 per cell]  2 Ga 2.64, 2 Ge 2.77
Ge (0.0000, 0.2808, 0.5375) [8 per cell]  4 Ge 2.64-2.77

---

In terms of stability, arrangement B leads; the second structure lies 1388 meV per atom higher.

---

Arrangement A

The following is a DFT calculation (PBE) of an optimized crystal structure of Ba3GaGe.

Output
spin magnetization	2.7	Bohr magnetons per cell

abc: 6.3871 6.3871 6.3871
angles: 90.00 90.00 90.00
Closest atoms and distances in Å follow each position.
Space group Pm-3m (No. 221)
Symmetry-distinct sites (fractional):
Ba (0.0000, 0.0000, 0.5000) [3 per cell]  2 Ge 3.19
Ga (0.5000, 0.5000, 0.5000) [1 per cell]  12 Ba 4.52
Ge (0.0000, 0.0000, 0.0000) [1 per cell]  6 Ba 3.19

---

Arrangement B

The following is a DFT calculation (PBE) of an optimized crystal structure of Ba3GaGe.

Output
spin magnetization	0.3	Bohr magnetons per cell

abc: 4.4063 9.5147 9.8581
angles: 87.52 89.98 76.66
Closest atoms and distances in Å follow each position.
Space group P1 (No. 1)
Symmetry-distinct sites (fractional):
Ba (0.0000, 0.0000, 0.0000) [1 per cell]  4 Ge 3.43-3.78, 1 Ba 3.60
Ba (0.1016, 0.7986, 0.3211) [1 per cell]  4 Ge 3.43-3.78, 1 Ba 3.60
Ba (0.2927, 0.4158, 0.9831) [1 per cell]  3 Ge 3.45-3.61, 3 Ga 3.62
Ba (0.4501, 0.1011, 0.5794) [1 per cell]  3 Ga 3.37-3.38, 1 Ge 3.38
Ba (0.6531, 0.6971, 0.7418) [1 per cell]  3 Ga 3.37-3.38, 1 Ge 3.38
Ba (0.8092, 0.3827, 0.3384) [1 per cell]  3 Ge 3.45-3.62, 3 Ga 3.62
Ga (0.2701, 0.4621, 0.6165) [1 per cell]  2 Ga 2.63
Ga (0.8330, 0.3359, 0.7054) [1 per cell]  2 Ga 2.63
Ge (0.4388, 0.1216, 0.2361) [1 per cell]  8 Ba 3.38-3.78
Ge (0.6618, 0.6772, 0.0848) [1 per cell]  8 Ba 3.38-3.78

---

In terms of stability, arrangement B leads; the second structure lies 294 meV per atom higher.

---

Arrangement A

The following is a DFT calculation (PBE) of an optimized crystal structure of Ba2Ga2Ge.

Output
spin magnetization	0.0	Bohr magnetons per cell

abc: 12.8473 4.4037 11.9780
angles: 90.00 111.22 90.00
Closest atoms and distances in Å follow each position.
Space group C2/m (No. 12)
Symmetry-distinct sites (fractional):
Ba (0.1020, 0.0000, 0.3983) [4 per cell]  6 Ga 3.46-3.69, 2 Ge 3.50
Ba (0.2103, 0.5000, 0.1399) [4 per cell]  4 Ge 3.50-3.77, 7 Ga 3.60-3.64
Ga (0.0275, 0.0000, 0.9106) [4 per cell]  1 Ga 2.49, 2 Ge 2.59
Ga (0.1200, 0.5000, 0.6272) [4 per cell]  1 Ge 2.63
Ge (0.0669, 0.5000, 0.8192) [4 per cell]  3 Ga 2.59-2.63

---

Arrangement B

The following is a DFT calculation (PBE) of an optimized crystal structure of Ba2Ga2Ge.

Output
spin magnetization	0.0	Bohr magnetons per cell

abc: 4.8984 4.2472 15.0277
angles: 90.00 90.00 90.00
Closest atoms and distances in Å follow each position.
Space group Amm2 (No. 38)
Symmetry-distinct sites (fractional):
Ba (0.0000, 0.0000, 0.0000) [2 per cell]  8 Ga 3.45-3.66, 2 Ge 3.58, 1 Ba 3.66
Ba (0.0000, 0.0000, 0.2434) [2 per cell]  4 Ge 3.47, 6 Ga 3.62-3.79, 1 Ba 3.66
Ga (0.5000, 0.0000, 0.4207) [2 per cell]  2 Ge 2.55
Ga (0.5000, 0.0000, 0.6126) [2 per cell]  1 Ga 2.88, 1 Ge 3.21
Ge (0.5000, 0.0000, 0.8263) [2 per cell]  2 Ga 2.55

---

In terms of stability, arrangement A leads; the second structure lies 98 meV per atom higher.